Entry 1:
Compound: PrNd2In
Source: Alexandria via LeMat-Bulk
Functional: GGA-PBE
Structure: relaxed

Cell lengths 5.6315, 5.6315, 5.6315 Å; angles 60.00, 60.00, 60.00 degrees
Positions (direct):
Pr 0.0000 0.0000 0.0000
In 0.5000 0.5000 0.5000
Nd 0.2500 0.2500 0.2500
Nd 0.7500 0.7500 0.7500

Values from the calculation:
* formation enthalpy at 0 K: -12 kJ/mol of atoms
* polymorph energy (0 for the lowest one): 0.592 eV/f.u.
* space-group type: Fm-3m, No. 225

Entry 2:
Compound: ZrHgRu
Source: Alexandria via LeMat-Bulk
Functional: GGA-PBE
Structure: relaxed

Cell lengths 5.3387, 5.3388, 3.4567 Å; angles 71.11, 71.11, 37.78 degrees
Positions (direct):
Zr 0.6850 0.6850 0.3150
Hg 0.9975 0.9975 0.0025
Ru 0.3176 0.3176 0.6824

Values from the calculation:
* formation enthalpy at 0 K: -22 kJ/mol of atoms
* polymorph energy (0 for the lowest one): 0.000 eV/f.u.
* space-group type: I4mm, No. 107

Entry 3:
Compound: PuMg2Cu
Source: Alexandria via LeMat-Bulk
Functional: GGA-PBE
Structure: relaxed

Cell lengths 2.9835, 2.9835, 10.8029 Å; angles 82.06, 82.06, 60.00 degrees
Positions (direct):
Mg 0.0999 0.0999 0.7004
Mg 0.9001 0.9001 0.2996
Pu 0.0000 0.0000 0.0000
Cu 0.5000 0.5000 0.5000

Values from the calculation:
* formation enthalpy at 0 K: 25 kJ/mol of atoms
* space-group type: R-3m, No. 166

Calculated mass density in order - 7.16, 11.50, 7.19 g cm⁻³
Calculated size of the total moment in order - 1.276, 0.000, 5.273 μB/f.u.
Calculated V in order - 126.3, 56.7, 82.2 Å³ per cell